# 1
Material: Sm2Ho3Mg
Method: DFT, PBE
State: relaxed

Calculated values
For the formation energy from the elements, the calculation gives 0.39 eV/atom. The electronic total energy is -22.41 eV for the cell shown.

Structure (POSCAR):
```
Sm2Ho3Mg
1.0
3.302 0.000 0.000
0.000 11.727 0.000
-1.651 -5.864 5.005
Sm Ho Mg
2 3 1
Direct
0.829 0.573 0.658
0.171 0.915 0.342
0.664 0.658 0.329
0.000 0.012 0.000
0.336 0.329 0.671
0.500 0.255 0.000
```

---

# 2
Material: Sm3Ho4Mg2
Method: DFT, PBE
State: relaxed

Calculated values
For the formation energy from the elements, the calculation gives 0.01 eV/atom. The electronic total energy is -35.57 eV for the cell shown.

Structure (POSCAR):
```
Sm3Ho4Mg2
1.0
-4.610 -0.257 1.726
-0.766 -7.204 -3.119
4.934 -0.547 6.059
Sm Mg Ho
3 2 4
Direct
0.000 0.000 0.000
0.112 0.665 0.224
0.888 0.335 0.776
0.670 0.000 0.339
0.330 0.000 0.661
0.779 0.670 0.557
0.443 0.666 0.887
0.557 0.334 0.113
0.221 0.330 0.443
```

---

# 3
Material: Sm3HoMg8
Method: DFT, PBE
State: relaxed

Calculated values
For the formation energy from the elements, the calculation gives -0.09 eV/atom. The electronic total energy is -32.51 eV for the cell shown.

Structure (POSCAR):
```
Sm3HoMg8
1.0
-4.077 2.803 -3.545
-1.829 -2.610 -5.186
-9.301 -4.454 1.950
Mg Ho Sm
8 1 3
Direct
0.437 0.437 0.189
0.937 0.437 0.189
0.437 0.937 0.189
0.439 0.938 0.686
0.938 0.439 0.686
0.938 0.938 0.686
0.688 0.688 0.937
0.187 0.187 0.438
0.875 0.875 0.375
0.999 0.999 0.002
0.375 0.375 0.874
0.500 0.500 0.499
```

---

# 4
Material: Sm12Ho7Mg
Method: DFT, PBE
State: relaxed

Calculated values
For the formation energy from the elements, the calculation gives 0.70 eV/atom. The electronic total energy is -76.37 eV for the cell shown.

Structure (POSCAR):
```
Sm12Ho7Mg
1.0
-9.422 -0.314 3.096
3.195 -9.217 -1.811
5.653 4.140 7.025
Ho Sm Mg
7 12 1
Direct
0.000 0.500 0.000
0.500 0.000 0.000
0.500 0.000 0.500
0.500 0.500 0.500
0.500 0.500 0.000
0.000 0.000 0.500
0.000 0.500 0.500
0.247 0.753 0.000
0.506 0.753 0.753
0.753 0.753 0.506
0.247 0.247 0.494
0.494 0.247 0.247
0.753 0.247 0.000
0.000 0.753 0.247
0.753 0.000 0.247
0.247 0.494 0.247
0.753 0.506 0.753
0.000 0.247 0.753
0.247 0.000 0.753
0.000 0.000 0.000
```